(1)
The following is a PBE calculation of a relaxed KLa2IrN crystal, from Alexandria via LeMat-Bulk.

Computed properties:
Formation energy (no corrections): 0.30 eV/atom
Fermi-level density of states: 5.37 states/eV/f.u.
Size of the total moment: 0.000 μB/f.u.

a b c (Å): 6.124 6.124 3.841
angles (deg): 90.00 90.00 90.00
Space group P4/mmm (No. 123)
One atom of each set of equivalent atoms:
K 0.000 0.000 0.000 x1
La 0.000 0.500 0.500 x2
Ir 0.500 0.500 0.500 x1
N 0.500 0.500 0.000 x1

=====

(2)
The following is a PBE calculation of a relaxed KLaNi2Ir crystal, from Alexandria via LeMat-Bulk.

Computed properties:
Energy: -18.2 eV/cell
Fermi-level density of states: 4.08 states/eV/f.u.
Size of the total moment: 0.000 μB/f.u.

a b c (Å): 4.375 4.375 5.438
angles (deg): 90.00 90.00 90.00
Space group P4/mmm (No. 123)
One atom of each set of equivalent atoms:
K 0.000 0.000 0.000 x1
La 0.000 0.000 0.500 x1
Ni 0.000 0.500 0.000 x2
Ir 0.500 0.500 0.500 x1

=====

(3)
The following is a PBE calculation of a relaxed KLa2IrO5 crystal, from Alexandria via LeMat-Bulk.

Computed properties:
Formation energy (no corrections): -2.30 eV/atom
Fermi-level density of states: 4.77 states/eV/f.u.
Size of the total moment: 2.005 μB/f.u.

a b c (Å): 7.020 7.020 5.888
angles (deg): 90.00 90.00 90.00
Space group P4/mbm (No. 127)
One atom of each set of equivalent atoms:
K 0.000 0.000 0.000 x2
La 0.182 0.318 0.500 x4
Ir 0.000 0.500 0.000 x2
O 0.000 0.000 0.500 x2
O 0.131 0.631 0.249 x8

=====

(4)
The following is a PBE calculation of a relaxed K2La2IrO6 crystal, from Alexandria via LeMat-Bulk.

Computed properties:
Formation energy (no corrections): -2.06 eV/atom
Fermi-level density of states: 8.46 states/eV/f.u.
Size of the total moment: 1.061 μB/f.u.

a b c (Å): 6.121 10.422 6.594
angles (deg): 90.00 103.92 90.00
Space group C2/m (No. 12)
One atom of each set of equivalent atoms:
K 0.000 0.152 0.000 x4
La 0.000 0.337 0.500 x4
Ir 0.000 0.000 0.500 x2
O 0.190 0.151 0.670 x8
O 0.236 0.000 0.318 x4

=====

> What is the size of the total moment in the first record?

0.000 μB/f.u.

=====

> What is the size of the total moment in the fourth record?

1.061 μB/f.u.

=====

> Look up the size of the total moment of the second one.

0.000 μB/f.u.

=====

> Which of these has the highest size of the total moment?

KLa2IrO5